V2Au | PBE-GGA | relaxed

```
V2Au
1.0
-1.725 -0.983 -2.484
1.973 -4.244 -1.727
-2.698 -5.849 2.153
V Au
4 2
Cartesian
-1.725 -7.675 0.164
-3.012 -4.752 -0.099
-2.229 -6.429 -2.015
0.183 -6.766 -1.521
-1.704 -1.290 -2.378
-0.839 -4.041 -1.890
```

For the formation enthalpy at 0 K, the calculation gives -0.023 eV per atom.

=====

V3WAu | PBE-GGA | relaxed

```
V3WAu
1.0
4.669 0.000 0.000
0.000 4.669 0.000
0.000 0.000 4.669
V Au W
3 1 1
Cartesian
0.000 0.000 2.335
0.000 2.335 0.000
2.335 0.000 0.000
0.000 0.000 0.000
2.335 2.335 2.335
```

For the formation enthalpy at 0 K, the calculation gives 1.961 eV per atom. The distance to the lowest polymorph of the same formula is 632 meV/atom.

=====

VW3Au | PBE-GGA | relaxed

```
VW3Au
1.0
4.523 0.000 0.000
0.000 4.523 0.000
0.000 0.000 4.523
W V Au
3 1 1
Cartesian
0.000 2.261 0.000
2.261 0.000 0.000
0.000 0.000 2.261
0.000 0.000 0.000
2.261 2.261 2.261
```

For the formation enthalpy at 0 K, the calculation gives 1.588 eV per atom. The distance to the lowest polymorph of the same formula is 0 meV/atom.

=====

V3W2Au | PBE-GGA | relaxed

```
V3W2Au
1.0
3.139 0.000 0.000
0.000 3.139 0.000
0.000 0.000 9.217
Au W V
1 2 3
Cartesian
1.570 1.570 4.608
1.570 1.570 7.678
1.570 1.570 1.539
0.000 0.000 6.296
0.000 0.000 2.921
0.000 0.000 0.000
```

For the formation enthalpy at 0 K, the calculation gives -0.006 eV per atom.